# 1
KBeTl2: relaxed, PBE. Values from VASP.

Polymorph energy (0 for the lowest one) (meV per atom): 101.8
Electronic total energy (eV per atom): -2.05
Volume (Å³/cell): 118

Structure (Quantum ESPRESSO input):
```
&SYSTEM
  ibrav = 0, nat = 4, ntyp = 3
/
ATOMIC_SPECIES
Tl 204.38 Tl.upf
K 39.10 K.upf
Be 9.01 Be.upf
CELL_PARAMETERS angstrom
6.210 0.036 0.016
1.907 5.910 -0.016
-3.050 -4.349 3.216
ATOMIC_POSITIONS crystal
Tl 0.560 0.560 0.000
Tl 0.940 0.940 0.000
K 0.250 0.750 0.500
Be 0.750 0.250 0.500
```



# 2
K2BeTl: relaxed, PBE. Values from VASP.

Polymorph energy (0 for the lowest one) (meV per atom): 367.5
Electronic total energy (eV per atom): -1.45
Volume (Å³/cell): 145

Structure (Quantum ESPRESSO input):
```
&SYSTEM
  ibrav = 0, nat = 4, ntyp = 3
/
ATOMIC_SPECIES
Tl 204.38 Tl.upf
Be 9.01 Be.upf
K 39.10 K.upf
CELL_PARAMETERS angstrom
0.000 4.167 4.167
4.167 0.000 4.167
4.167 4.167 0.000
ATOMIC_POSITIONS crystal
Tl 0.500 0.500 0.500
Be 0.000 0.000 0.000
K 0.750 0.750 0.750
K 0.250 0.250 0.250
```



# 3
KBeV: relaxed, PBE. Values from VASP.

Polymorph energy (0 for the lowest one) (meV per atom): 449.7
Electronic total energy (eV per atom): -3.73
Volume (Å³/cell): 291

Structure (Quantum ESPRESSO input):
```
&SYSTEM
  ibrav = 0, nat = 12, ntyp = 3
/
ATOMIC_SPECIES
K 39.10 K.upf
Be 9.01 Be.upf
V 50.94 V.upf
CELL_PARAMETERS angstrom
8.673 0.000 0.000
0.000 2.870 0.000
0.000 0.000 11.687
ATOMIC_POSITIONS crystal
K 0.935 0.750 0.165
Be 0.292 0.250 0.080
K 0.565 0.250 0.665
K 0.435 0.750 0.335
V 0.431 0.750 0.947
V 0.069 0.250 0.447
V 0.931 0.750 0.553
Be 0.208 0.750 0.580
Be 0.708 0.750 0.920
V 0.569 0.250 0.053
K 0.065 0.250 0.835
Be 0.792 0.250 0.420
```



# 4
KBeV: relaxed, PBE. Values from VASP.

Polymorph energy (0 for the lowest one) (meV per atom): 145.4
Electronic total energy (eV per atom): -4.04
Volume (Å³/cell): 178

Structure (Quantum ESPRESSO input):
```
&SYSTEM
  ibrav = 0, nat = 6, ntyp = 3
/
ATOMIC_SPECIES
Be 9.01 Be.upf
K 39.10 K.upf
V 50.94 V.upf
CELL_PARAMETERS angstrom
-0.472 3.559 2.497
-3.509 0.978 -2.058
-4.699 -7.015 5.288
ATOMIC_POSITIONS crystal
Be 0.829 0.014 0.125
K 0.675 0.780 0.822
V 0.309 0.302 0.085
V 0.349 0.726 0.166
K 0.978 0.248 0.428
Be 0.829 0.514 0.125
```



Number 1: density of states at the Fermi level 1.6 states/eV per cell, ΔH_f (0 K) 132 kJ/mol of formula units. Number 2: density of states at the Fermi level 5.0 states/eV per cell, ΔH_f (0 K) 242 kJ/mol of formula units. Number 3: density of states at the Fermi level 9.9 states/eV per cell, ΔH_f (0 K) 264 kJ/mol of formula units. Number 4: density of states at the Fermi level 3.3 states/eV per cell, ΔH_f (0 K) 176 kJ/mol of formula units.